1.
DFT (PBE) results for crystalline Dy3YZn at its relaxed geometry.

Summary:
uncorrected energy	-0.3126	Ry per atom
ΔH_f (0 K)	0.06	eV per atom
DOS at the Fermi energy	1.56	states/eV per atom

Lattice parameters (Å, degrees): 7.107 7.107 7.705 117.04 117.04 72.50
Fractional positions:
Dy1 0.047 0.047 0.309
Dy2 0.109 0.514 0.287
Dy3 0.486 0.891 0.713
Dy4 0.514 0.109 0.287
Dy5 0.891 0.486 0.713
Dy6 0.953 0.953 0.691
Y1 0.419 0.419 0.729
Y2 0.581 0.581 0.271
Zn1 0.268 0.268 0.937
Zn2 0.732 0.732 0.063

***

2.
DFT (PBE) results for crystalline Dy4YZn4 at its relaxed geometry.

Summary:
uncorrected energy	-0.2499	Ry per atom
ΔH_f (0 K)	-0.07	eV per atom
DOS at the Fermi energy	1.38	states/eV per atom

Lattice parameters (Å, degrees): 8.975 8.975 5.950 90.00 90.00 90.00
Fractional positions:
Dy1 0.063 0.660 0.140
Dy2 0.160 0.937 0.640
Dy3 0.340 0.563 0.640
Dy4 0.437 0.840 0.140
Dy5 0.563 0.160 0.860
Dy6 0.660 0.437 0.360
Dy7 0.840 0.063 0.360
Dy8 0.937 0.340 0.860
Y1 0.250 0.250 0.250
Y2 0.750 0.750 0.750
Zn1 0.022 0.617 0.625
Zn2 0.117 0.978 0.125
Zn3 0.383 0.522 0.125
Zn4 0.478 0.883 0.625
Zn5 0.522 0.117 0.375
Zn6 0.617 0.478 0.875
Zn7 0.883 0.022 0.875
Zn8 0.978 0.383 0.375

***

3.
DFT (PBE) results for crystalline DyY2Zn3 at its relaxed geometry.

Summary:
uncorrected energy	-0.2876	Ry per atom
ΔH_f (0 K)	-0.35	eV per atom
DOS at the Fermi energy	1.14	states/eV per atom

Lattice parameters (Å, degrees): 5.059 5.059 6.201 90.00 90.00 120.00
Fractional positions:
Dy1 0.000 0.000 0.000
Y1 0.333 0.667 0.667
Y2 0.667 0.333 0.333
Zn1 0.000 0.000 0.500
Zn2 0.333 0.667 0.166
Zn3 0.667 0.333 0.834

***

4.
DFT (PBE) results for crystalline DyY4Zn at its relaxed geometry.

Summary:
uncorrected energy	-0.3964	Ry per atom
ΔH_f (0 K)	-0.10	eV per atom
DOS at the Fermi energy	1.38	states/eV per atom
polymorph energy (0 for the lowest one)	0.0000	eV per atom

Lattice parameters (Å, degrees): 3.569 3.569 13.770 90.00 90.00 90.00
Fractional positions:
Dy1 0.000 0.000 0.000
Y1 0.000 0.000 0.371
Y2 0.000 0.000 0.629
Y3 0.500 0.500 0.182
Y4 0.500 0.500 0.818
Zn1 0.500 0.500 0.500

***

5.
DFT (PBE) results for crystalline Dy3Y2Zn2 at its relaxed geometry.

Summary:
uncorrected energy	-0.3195	Ry per atom
ΔH_f (0 K)	-0.16	eV per atom
DOS at the Fermi energy	1.28	states/eV per atom
polymorph energy (0 for the lowest one)	0.0000	eV per atom

Lattice parameters (Å, degrees): 6.674 6.674 9.016 114.65 114.65 32.19
Fractional positions:
Dy1 0.000 0.000 0.000
Dy2 0.112 0.112 0.442
Dy3 0.888 0.888 0.558
Y1 0.352 0.352 0.190
Y2 0.648 0.648 0.810
Zn1 0.322 0.322 0.777
Zn2 0.678 0.678 0.223

***

6.
DFT (PBE) results for crystalline Dy2Y3Zn2 at its relaxed geometry.

Summary:
uncorrected energy	-0.3390	Ry per atom
ΔH_f (0 K)	-0.16	eV per atom
DOS at the Fermi energy	1.26	states/eV per atom
polymorph energy (0 for the lowest one)	0.0000	eV per atom

Lattice parameters (Å, degrees): 6.727 6.727 9.068 114.89 114.89 31.61
Fractional positions:
Dy1 0.150 0.150 0.312
Dy2 0.850 0.850 0.688
Y1 0.390 0.390 0.059
Y2 0.500 0.500 0.500
Y3 0.610 0.610 0.941
Zn1 0.179 0.179 0.726
Zn2 0.821 0.821 0.274

***

7.
DFT (PBE) results for crystalline Dy2YZn2 at its relaxed geometry.

Summary:
uncorrected energy	-0.2881	Ry per atom
ΔH_f (0 K)	-0.28	eV per atom
DOS at the Fermi energy	1.02	states/eV per atom

Lattice parameters (Å, degrees): 3.608 5.149 13.333 90.00 97.75 90.00
Fractional positions:
Dy1 0.046 0.250 0.092
Dy2 0.233 0.250 0.465
Dy3 0.767 0.750 0.535
Dy4 0.954 0.750 0.908
Y1 0.143 0.750 0.287
Y2 0.857 0.250 0.713
Zn1 0.360 0.750 0.720
Zn2 0.451 0.250 0.903
Zn3 0.549 0.750 0.097
Zn4 0.640 0.250 0.280

***

8.
DFT (PBE) results for crystalline Dy9Y4Zn11 at its relaxed geometry.

Summary:
uncorrected energy	-0.2672	Ry per atom
ΔH_f (0 K)	-0.25	eV per atom
DOS at the Fermi energy	1.10	states/eV per atom

Lattice parameters (Å, degrees): 13.095 13.095 3.447 90.00 90.00 107.68
Fractional positions:
Dy1 0.000 0.000 0.000
Dy2 0.123 0.649 0.000
Dy3 0.295 0.479 0.000
Dy4 0.351 0.877 0.000
Dy5 0.479 0.295 0.000
Dy6 0.521 0.705 0.000
Dy7 0.649 0.123 0.000
Dy8 0.705 0.521 0.000
Dy9 0.877 0.351 0.000
Y1 0.082 0.256 0.000
Y2 0.256 0.082 0.000
Y3 0.744 0.918 0.000
Y4 0.918 0.744 0.000
Zn1 0.083 0.448 0.500
Zn2 0.130 0.870 0.500
Zn3 0.284 0.284 0.500
Zn4 0.324 0.676 0.500
Zn5 0.448 0.083 0.500
Zn6 0.500 0.500 0.500
Zn7 0.552 0.917 0.500
Zn8 0.676 0.324 0.500
Zn9 0.716 0.716 0.500
Zn10 0.870 0.130 0.500
Zn11 0.917 0.552 0.500

***

9.
DFT (PBE) results for crystalline Dy3YZn2 at its relaxed geometry.

Summary:
uncorrected energy	-0.2961	Ry per atom
ΔH_f (0 K)	-0.23	eV per atom
DOS at the Fermi energy	1.05	states/eV per atom
polymorph energy (0 for the lowest one)	0.0099	eV per atom

Lattice parameters (Å, degrees): 3.575 3.575 12.158 90.00 90.00 90.00
Fractional positions:
Dy1 0.000 0.000 0.000
Dy2 0.000 0.000 0.289
Dy3 0.000 0.000 0.711
Y1 0.500 0.500 0.500
Zn1 0.500 0.500 0.145
Zn2 0.500 0.500 0.855

***

10.
DFT (PBE) results for crystalline Dy2YZn9 at its relaxed geometry.

Summary:
uncorrected energy	-0.1895	Ry per atom
ΔH_f (0 K)	-0.32	eV per atom
DOS at the Fermi energy	0.55	states/eV per atom

Lattice parameters (Å, degrees): 9.126 9.126 9.126 34.68 34.68 34.68
Fractional positions:
Dy1 0.140 0.140 0.140
Dy2 0.860 0.860 0.860
Y1 0.000 0.000 0.000
Zn1 0.077 0.585 0.585
Zn2 0.335 0.335 0.335
Zn3 0.415 0.415 0.923
Zn4 0.415 0.923 0.415
Zn5 0.500 0.500 0.500
Zn6 0.585 0.077 0.585
Zn7 0.585 0.585 0.077
Zn8 0.665 0.665 0.665
Zn9 0.923 0.415 0.415

***

11.
DFT (PBE) results for crystalline DyY2Zn3 at its relaxed geometry.

Summary:
uncorrected energy	-0.2875	Ry per atom
ΔH_f (0 K)	-0.35	eV per atom
DOS at the Fermi energy	1.14	states/eV per atom

Lattice parameters (Å, degrees): 3.578 3.578 10.735 90.00 90.00 90.00
Fractional positions:
Dy1 0.000 0.000 0.000
Y1 0.000 0.000 0.333
Y2 0.000 0.000 0.667
Zn1 0.500 0.500 0.165
Zn2 0.500 0.500 0.500
Zn3 0.500 0.500 0.835

***

12.
DFT (PBE) results for crystalline DyY3Zn at its relaxed geometry.

Summary:
uncorrected energy	-0.3684	Ry per atom
ΔH_f (0 K)	0.04	eV per atom
DOS at the Fermi energy	1.72	states/eV per atom

Lattice parameters (Å, degrees): 7.209 7.209 7.752 118.54 118.54 73.03
Fractional positions:
Dy1 0.081 0.081 0.273
Dy2 0.919 0.919 0.727
Y1 0.004 0.606 0.277
Y2 0.394 0.996 0.723
Y3 0.454 0.454 0.691
Y4 0.546 0.546 0.309
Y5 0.606 0.004 0.277
Y6 0.996 0.394 0.723
Zn1 0.231 0.231 0.074
Zn2 0.769 0.769 0.926